First-principles (GGA-PBE) data for a relaxed structure of Sr2TaSb, as listed in Alexandria.

**Uncorrected formation energy**: 42.5 kJ/mol of atoms
**Space group**: I4/mmm (139)
**Total DFT energy (no corrections)**: -17.57 eV/f.u.

a b c (Å): 6.017 6.017 6.017
angles (deg): 131.53 131.51 70.98
Fractional positions:
Sr: 0.000 0.000 0.000
Ta: 0.750 0.250 0.500
Sr: 0.500 0.500 0.000
Sb: 0.250 0.750 0.500

=====

First-principles (GGA-PBE) data for a relaxed structure of TcSnBr2, as listed in Alexandria.

**Uncorrected formation energy**: 17.7 kJ/mol of atoms
**Space group**: I-42d (122)
**E above lowest polymorph**: 0 meV/atom
**Total DFT energy (no corrections)**: -16.98 eV/f.u.

a b c (Å): 9.068 9.068 6.935
angles (deg): 49.17 49.17 90.00
Fractional positions:
Br: 0.258 0.625 0.250
Sn: 0.000 0.000 0.000
Br: 0.492 0.125 0.250
Br: 0.375 0.508 0.750
Br: 0.875 0.742 0.750
Tc: 0.500 0.500 0.000
Tc: 0.250 0.750 0.500
Sn: 0.750 0.250 0.500

=====

First-principles (GGA-PBE) data for a relaxed structure of FeTcNi2, as listed in Alexandria.

**Space group**: F222 (22)
**E above lowest polymorph**: 38 meV/atom
**ΔE_f**: 35 meV per atom
**Total DFT energy (no corrections)**: -30.25 eV/f.u.

a b c (Å): 4.418 4.418 4.416
angles (deg): 131.59 131.59 70.93
Fractional positions:
Ni: 0.000 0.000 0.000
Fe: 0.250 0.750 0.500
Tc: 0.500 0.500 0.000
Ni: 0.750 0.250 0.500

=====

- Among the records above, which one has the lowest total DFT energy (no corrections)?
  FeTcNi2

=====

Copy entry 2 word for word.
First-principles (GGA-PBE) data for a relaxed structure of TcSnBr2, as listed in Alexandria.

**Uncorrected formation energy**: 17.7 kJ/mol of atoms
**Space group**: I-42d (122)
**E above lowest polymorph**: 0 meV/atom
**Total DFT energy (no corrections)**: -16.98 eV/f.u.

a b c (Å): 9.068 9.068 6.935
angles (deg): 49.17 49.17 90.00
Fractional positions:
Br: 0.258 0.625 0.250
Sn: 0.000 0.000 0.000
Br: 0.492 0.125 0.250
Br: 0.375 0.508 0.750
Br: 0.875 0.742 0.750
Tc: 0.500 0.500 0.000
Tc: 0.250 0.750 0.500
Sn: 0.750 0.250 0.500

=====

- Number 1 is which compound?
  Sr2TaSb